Record 1
DFT (GGA-PBE) results for a relaxed InIrF2 crystal.

Unit cell a=8.6515 b=8.6515 c=8.6515 alpha=18.92 beta=18.92 gamma=18.92
With the nearest neighbours (Å) after each atom.
Element x y z (fractional)
In (0.0000, 0.0000, 0.0000)  2 F 2.18
Ir (0.5000, 0.5000, 0.5000)  6 F 2.64, 6 Ir 2.84
F (0.0854, 0.0854, 0.0854)  1 In 2.18
F (0.9146, 0.9146, 0.9146)  1 In 2.18

Summary:
energy relative to the lowest polymorph listed for this composition: 474 meV/atom
raw formation energy: -429 meV/atom
calculated volume: 59.49 Å³/f.u.
DOS(E_F): 2.4 states/eV per cell

=====

Record 2
DFT (GGA-PBE) results for a relaxed InSb2P crystal.

Unit cell a=4.0917 b=4.0917 c=6.4486 alpha=90.00 beta=90.00 gamma=90.00
With the nearest neighbours (Å) after each atom.
Element x y z (fractional)
In (0.0000, 0.0000, 0.0000)  5 Sb 2.95-2.98
Sb (0.0000, 0.0000, 0.4569)  4 P 2.90, 1 In 2.95
Sb (0.5000, 0.5000, 0.8884)  1 P 2.54
P (0.5000, 0.5000, 0.4947)  1 Sb 2.54

Summary:
energy relative to the lowest polymorph listed for this composition: 10 meV/atom
raw formation energy: 101 meV/atom
calculated volume: 107.96 Å³/f.u.
DOS(E_F): 1.9 states/eV per cell

=====

Record 3
DFT (GGA-PBE) results for a relaxed Ag2PbS2 crystal.

Unit cell a=7.8197 b=7.8197 c=3.4201 alpha=90.00 beta=90.00 gamma=90.00
With the nearest neighbours (Å) after each atom.
Element x y z (fractional)
Ag (0.1314, 0.3686, 0.0000)  6 S 2.78-2.93, 1 Ag 2.91
Ag (0.3686, 0.8686, 0.0000)  6 S 2.78-2.93, 1 Ag 2.91
Ag (0.6314, 0.1314, 0.0000)  6 S 2.78-2.93, 1 Ag 2.91
Ag (0.8686, 0.6314, 0.0000)  6 S 2.78-2.93, 1 Ag 2.91
Pb (0.0000, 0.0000, 0.5000)  4 S 2.90
Pb (0.5000, 0.5000, 0.5000)  4 S 2.90
S (0.1706, 0.6706, 0.5000)  6 Ag 2.78-2.93, 2 Pb 2.90
S (0.3294, 0.1706, 0.5000)  6 Ag 2.78-2.93, 2 Pb 2.90
S (0.6706, 0.8294, 0.5000)  6 Ag 2.78-2.93, 2 Pb 2.90
S (0.8294, 0.3294, 0.5000)  6 Ag 2.78-2.93, 2 Pb 2.90

Summary:
energy relative to the lowest polymorph listed for this composition: 247 meV/atom
raw formation energy: 39 meV/atom
calculated volume: 104.57 Å³/f.u.
DOS(E_F): 4.5 states/eV per cell

=====

Record 4
DFT (GGA-PBE) results for a relaxed PPbBrO2 crystal.

Unit cell a=4.1243 b=4.1243 c=5.0011 alpha=90.00 beta=90.00 gamma=90.00
With the nearest neighbours (Å) after each atom.
Element x y z (fractional)
P (0.0000, 0.0000, 0.0000)  2 Br 2.50
Pb (0.5000, 0.5000, 0.0000)  4 P 2.92, 8 O 3.24
Br (0.0000, 0.0000, 0.5000)  4 O 2.06
O (0.0000, 0.5000, 0.5000)  2 Br 2.06
O (0.5000, 0.0000, 0.5000)  2 Br 2.06

Summary:
raw formation energy: 465 meV/atom
calculated volume: 85.07 Å³/f.u.
DOS(E_F): 2.6 states/eV per cell

=====

Record 5
DFT (GGA-PBE) results for a relaxed Pa2Se5I crystal.

Unit cell a=7.4394 b=7.4394 c=7.4394 alpha=145.41 beta=108.48 gamma=81.94
With the nearest neighbours (Å) after each atom.
Element x y z (fractional)
Pa (0.2413, 0.2413, 0.0000)  7 Se 2.71-2.92
Pa (0.7587, 0.7587, 0.0000)  7 Se 2.71-2.92
Se (0.0000, 0.0000, 0.0000)  2 Pa 2.71
Se (0.0286, 0.3398, 0.6887)  3 Pa 2.90-2.92, 2 Se 3.18
Se (0.3489, 0.6602, 0.6887)  3 Pa 2.90-2.92, 2 Se 3.18
Se (0.6511, 0.3398, 0.3113)  3 Pa 2.90-2.92, 2 Se 3.18
Se (0.9714, 0.6602, 0.3113)  3 Pa 2.90-2.92, 2 Se 3.18
I (0.5000, 0.0000, 0.5000)  4 Pa 3.65, 8 Se 3.93

Summary:
raw formation energy: -1009 meV/atom
calculated volume: 216.02 Å³/f.u.
DOS(E_F): 5.4 states/eV per cell

=====

Record 6
DFT (GGA-PBE) results for a relaxed RbNiH2 crystal.

Unit cell a=5.4734 b=5.4734 c=5.4734 alpha=119.94 beta=119.94 gamma=90.10
With the nearest neighbours (Å) after each atom.
Element x y z (fractional)
Rb (0.0000, 0.0000, 0.0000)  12 H 3.21-3.22, 4 Rb 3.35, 4 Ni 3.35
Rb (0.7500, 0.2500, 0.5000)  12 H 3.21-3.22, 4 Ni 3.35, 4 Rb 3.35
Ni (0.2500, 0.7500, 0.5000)  4 H 1.68
Ni (0.5000, 0.5000, 0.0000)  4 H 1.68
H (0.3737, 0.6250, 0.2487)  2 Ni 1.68
H (0.3750, 0.6237, 0.7487)  2 Ni 1.68
H (0.3763, 0.1250, 0.7513)  2 Ni 1.68
H (0.8750, 0.6263, 0.2513)  2 Ni 1.68

Summary:
energy relative to the lowest polymorph listed for this composition: 0 meV/atom
calculated volume: 58.02 Å³/f.u.
DOS(E_F): 3.2 states/eV per cell

=====

Record 7
DFT (GGA-PBE) results for a relaxed SiI2O crystal.

Unit cell a=6.3059 b=6.3059 c=6.3059 alpha=112.80 beta=112.80 gamma=103.00
With the nearest neighbours (Å) after each atom.
Element x y z (fractional)
Si (0.0000, 0.0000, 0.0000)  4 I 2.72
Si (0.7500, 0.2500, 0.5000)  4 I 2.72
I (0.1385, 0.1250, 0.5135)  2 O 2.59, 2 Si 2.72
I (0.3750, 0.8615, 0.9865)  2 O 2.59, 2 Si 2.72
I (0.6115, 0.6250, 0.4865)  2 O 2.59, 2 Si 2.72
I (0.8750, 0.3885, 0.0135)  2 O 2.59, 2 Si 2.72
O (0.2500, 0.7500, 0.5000)  4 I 2.59
O (0.5000, 0.5000, 0.0000)  4 I 2.59

Summary:
energy relative to the lowest polymorph listed for this composition: 0 meV/atom
raw formation energy: 572 meV/atom
calculated volume: 95.61 Å³/f.u.
DOS(E_F): 0.0 states/eV per cell

=====

Record 8
DFT (GGA-PBE) results for a relaxed Rb2IrI6Br crystal.

Unit cell a=8.3976 b=8.3976 c=8.3976 alpha=117.20 beta=117.20 gamma=94.92
With the nearest neighbours (Å) after each atom.
Element x y z (fractional)
Rb (0.2500, 0.7500, 0.5000)  12 I 4.22-4.38
Rb (0.7500, 0.2500, 0.5000)  12 I 4.22-4.38
Ir (0.0000, 0.0000, 0.0000)  6 I 2.67-2.78
I (0.2162, 0.2162, 0.4323)  1 Ir 2.67
I (0.2162, 0.7838, 0.0000)  1 Ir 2.67
I (0.2448, 0.2448, 0.0000)  1 Ir 2.78, 1 Br 2.90
I (0.7552, 0.7552, 0.0000)  1 Ir 2.78, 1 Br 2.90
I (0.7838, 0.2162, 0.0000)  1 Ir 2.67
I (0.7838, 0.7838, 0.5677)  1 Ir 2.67
Br (0.5000, 0.5000, 0.0000)  2 I 2.90

Summary:
raw formation energy: -547 meV/atom
calculated volume: 434.73 Å³/f.u.
DOS(E_F): 12.7 states/eV per cell

=====

Record 9
DFT (GGA-PBE) results for a relaxed Cd3Ni crystal.

Unit cell a=4.6952 b=5.8626 c=5.3322 alpha=90.00 beta=90.00 gamma=90.00
With the nearest neighbours (Å) after each atom.
Element x y z (fractional)
Cd (0.2500, 0.0014, 0.1652)  8 Cd 2.90-3.20, 4 Ni 2.90-3.08
Cd (0.2500, 0.4986, 0.1652)  8 Cd 2.90-3.20, 4 Ni 2.90-3.08
Cd (0.2500, 0.7500, 0.6331)  4 Ni 2.86-2.94, 8 Cd 2.90-3.20
Cd (0.7500, 0.2500, 0.3669)  4 Ni 2.86-2.94, 8 Cd 2.90-3.20
Cd (0.7500, 0.5014, 0.8348)  8 Cd 2.90-3.20, 4 Ni 2.90-3.08
Cd (0.7500, 0.9986, 0.8348)  8 Cd 2.90-3.20, 4 Ni 2.90-3.08
Ni (0.2500, 0.2500, 0.6738)  12 Cd 2.86-3.08
Ni (0.7500, 0.7500, 0.3262)  12 Cd 2.86-3.08

Summary:
formation energy: 60 meV per atom
calculated volume: 73.39 Å³/f.u.
DOS(E_F): 2.3 states/eV per cell

=====

Record 10
DFT (GGA-PBE) results for a relaxed MgZnTe2 crystal.

Unit cell a=3.2213 b=3.2213 c=10.0919 alpha=90.00 beta=90.00 gamma=90.00
With the nearest neighbours (Å) after each atom.
Element x y z (fractional)
Mg (0.0000, 0.0000, 0.0000)  4 Zn 2.98, 4 Te 3.16, 4 Mg 3.22
Zn (0.5000, 0.5000, 0.8100)  4 Mg 2.98, 4 Te 3.20, 4 Zn 3.22
Te (0.0000, 0.0000, 0.5868)  4 Zn 3.20, 4 Te 3.22
Te (0.5000, 0.5000, 0.2164)  4 Mg 3.16, 4 Te 3.22

Summary:
raw formation energy: -16 meV/atom
calculated volume: 104.72 Å³/f.u.
DOS(E_F): 1.9 states/eV per cell

=====

Record 11
DFT (GGA-PBE) results for a relaxed LiRh2Br crystal.

Unit cell a=5.2857 b=5.2857 c=3.0250 alpha=106.23 beta=106.23 gamma=118.09
With the nearest neighbours (Å) after each atom.
Element x y z (fractional)
Li (0.0000, 0.0000, 0.0000)  4 Rh 2.65, 4 Br 2.72-2.76
Rh (0.0000, 0.5000, 0.5000)  2 Li 2.65, 2 Br 2.65, 4 Rh 2.72-2.76
Rh (0.5000, 0.0000, 0.5000)  2 Br 2.65, 2 Li 2.65, 4 Rh 2.72-2.76
Br (0.5000, 0.5000, 0.0000)  4 Rh 2.65, 4 Li 2.72-2.76

Summary:
energy relative to the lowest polymorph listed for this composition: 152 meV/atom
raw formation energy: 137 meV/atom
calculated volume: 62.60 Å³/f.u.
DOS(E_F): 4.5 states/eV per cell

=====

Record 12
DFT (GGA-PBE) results for a relaxed ZnTc3Sb crystal.

Unit cell a=4.8546 b=4.8546 c=4.8546 alpha=90.00 beta=90.00 gamma=90.00
With the nearest neighbours (Å) after each atom.
Element x y z (fractional)
Zn (0.0000, 0.0000, 0.0000)  12 Tc 3.43
Tc (0.0000, 0.5000, 0.5000)  2 Sb 2.43
Tc (0.5000, 0.0000, 0.5000)  2 Sb 2.43
Tc (0.5000, 0.5000, 0.0000)  2 Sb 2.43
Sb (0.5000, 0.5000, 0.5000)  6 Tc 2.43

Summary:
energy relative to the lowest polymorph listed for this composition: 441 meV/atom
raw formation energy: 1868 meV/atom
calculated volume: 114.41 Å³/f.u.
DOS(E_F): 8.0 states/eV per cell

=====

What is the calculated volume in the ninth record?
73.39 Å³/f.u.

=====

Which formula does entry 10 have?
MgZnTe2